# 1
VASP calculation (PBE) on an optimized crystal structure of AcPrTm.

Unit cell a=3.6857 b=5.6334 c=10.9137 alpha=90.00 beta=99.80 gamma=90.00
Last column: nearest neighbours and their distance in Å.
Element x y z (fractional)
Tm (0.9589, 0.7500, 0.4221)  2 Tm 3.28, 1 Ac 3.55, 6 Pr 3.63-3.67
Tm (0.0411, 0.2500, 0.5779)  2 Tm 3.28, 1 Ac 3.55, 6 Pr 3.63-3.67
Ac (0.7957, 0.7500, 0.0924)  1 Tm 3.55, 6 Ac 3.69-3.91, 4 Pr 3.96-3.97
Ac (0.2043, 0.2500, 0.9076)  1 Tm 3.55, 6 Ac 3.69-3.91, 4 Pr 3.96-3.97
Pr (0.6075, 0.7500, 0.7130)  6 Tm 3.63-3.67, 2 Pr 3.69, 4 Ac 3.96-3.97
Pr (0.3925, 0.2500, 0.2870)  6 Tm 3.63-3.67, 2 Pr 3.69, 4 Ac 3.96-3.97

Computed properties:
Symmetry: P2_1/m (11)
Energy relative to the lowest polymorph listed for this composition in kcal/mol of atoms: 0.00
Total magnetization in μB per cell: 0.0

---

# 2
VASP calculation (PBE) on an optimized crystal structure of Ac2Pr5Tm.

Unit cell a=5.2978 b=7.4896 c=15.0343 alpha=90.00 beta=90.00 gamma=90.00
Last column: nearest neighbours and their distance in Å.
Element x y z (fractional)
Pr (0.5000, 0.2497, 0.3762)  4 Ac 3.73-3.79, 6 Pr 3.73-3.78, 2 Tm 3.74
Pr (0.0000, 0.9978, 0.7481)  1 Tm 3.73, 7 Pr 3.73-3.79, 4 Ac 3.74-3.77
Pr (0.0000, 0.0022, 0.2519)  1 Tm 3.73, 7 Pr 3.73-3.79, 4 Ac 3.74-3.77
Pr (0.5000, 0.7503, 0.6238)  4 Ac 3.73-3.79, 6 Pr 3.73-3.78, 2 Tm 3.74
Pr (0.0000, 0.5000, 0.5000)  6 Pr 3.74-3.79, 2 Tm 3.74, 4 Ac 3.75
Pr (0.5000, 0.7497, 0.1238)  4 Ac 3.73-3.79, 6 Pr 3.73-3.78, 2 Tm 3.74
Pr (0.5000, 0.2503, 0.8762)  4 Ac 3.73-3.79, 6 Pr 3.73-3.78, 2 Tm 3.74
Pr (0.0000, 0.0000, 0.0000)  6 Pr 3.74-3.79, 2 Tm 3.74, 4 Ac 3.75
Pr (0.0000, 0.4978, 0.7519)  1 Tm 3.73, 7 Pr 3.73-3.79, 4 Ac 3.74-3.77
Pr (0.0000, 0.5022, 0.2481)  1 Tm 3.73, 7 Pr 3.73-3.79, 4 Ac 3.74-3.77
Ac (0.5000, 0.2522, 0.1240)  10 Pr 3.73-3.79, 2 Tm 3.73
Ac (0.5000, 0.7522, 0.3760)  10 Pr 3.73-3.79, 2 Tm 3.73
Ac (0.5000, 0.2478, 0.6240)  10 Pr 3.73-3.79, 2 Tm 3.73
Ac (0.5000, 0.7478, 0.8760)  10 Pr 3.73-3.79, 2 Tm 3.73
Tm (0.0000, 0.0000, 0.5000)  8 Pr 3.73-3.74, 4 Ac 3.73
Tm (0.0000, 0.5000, 0.0000)  8 Pr 3.73-3.74, 4 Ac 3.73

Computed properties:
Symmetry: Pbam (55)
Energy relative to the lowest polymorph listed for this composition in kcal/mol of atoms: 0.00
Total magnetization in μB per cell: 0.0

---

# 3
VASP calculation (PBE) on an optimized crystal structure of AcPr2Tm.

Unit cell a=5.2837 b=5.2483 c=5.2483 alpha=90.00 beta=90.00 gamma=90.00
Last column: nearest neighbours and their distance in Å.
Element x y z (fractional)
Tm (0.5000, 0.5000, 0.5000)  4 Ac 3.71, 8 Pr 3.72
Pr (0.0000, 0.0000, 0.5000)  4 Pr 3.71, 4 Tm 3.72, 4 Ac 3.72
Pr (0.0000, 0.5000, 0.0000)  4 Pr 3.71, 4 Ac 3.72, 4 Tm 3.72
Ac (0.5000, 0.0000, 0.0000)  4 Tm 3.71, 8 Pr 3.72

Computed properties:
Symmetry: P4/mmm (123)
Energy relative to the lowest polymorph listed for this composition in kcal/mol of atoms: 0.06
Total magnetization in μB per cell: 0.0

---

# 4
VASP calculation (PBE) on an optimized crystal structure of AcPr2Tm.

Unit cell a=3.7663 b=10.3997 c=6.3829 alpha=35.45 beta=90.00 gamma=90.00
Last column: nearest neighbours and their distance in Å.
Element x y z (fractional)
Pr (0.0000, 0.5000, 0.0000)  4 Pr 3.70-3.77, 4 Ac 3.71, 4 Tm 3.71
Pr (0.0000, 0.0000, 0.0000)  4 Pr 3.70-3.77, 4 Tm 3.71, 4 Ac 3.71
Ac (0.5000, 0.0000, 0.5000)  2 Tm 3.70, 8 Pr 3.71, 2 Ac 3.77
Tm (0.5000, 0.5000, 0.5000)  2 Ac 3.70, 8 Pr 3.71, 2 Tm 3.77

Computed properties:
Symmetry: Cmmm (65)
Energy relative to the lowest polymorph listed for this composition in kcal/mol of atoms: 0.00
Total magnetization in μB per cell: 0.0

---

# 5
VASP calculation (PBE) on an optimized crystal structure of Ac4Pr5Tm2.

Unit cell a=5.3741 b=8.3555 c=11.3302 alpha=121.28 beta=103.72 gamma=90.00
Last column: nearest neighbours and their distance in Å.
Element x y z (fractional)
Pr (0.7735, 0.1721, 0.5470)  5 Pr 3.60-3.80, 3 Tm 3.73-3.77, 4 Ac 3.80-3.87
Pr (0.2265, 0.8279, 0.4530)  5 Pr 3.60-3.80, 3 Tm 3.73-3.77, 4 Ac 3.80-3.87
Pr (0.5000, 0.0000, 0.0000)  2 Tm 3.72, 6 Ac 3.76-3.78, 4 Pr 3.82
Pr (0.8628, 0.9152, 0.7256)  5 Pr 3.60-3.82, 2 Tm 3.71, 5 Ac 3.72-3.83
Pr (0.1372, 0.0848, 0.2744)  5 Pr 3.60-3.82, 2 Tm 3.71, 5 Ac 3.72-3.83
Ac (0.3182, 0.5416, 0.6364)  1 Tm 3.76, 7 Pr 3.77-3.87, 4 Ac 3.80-3.81
Ac (0.0436, 0.3602, 0.0873)  5 Pr 3.72-3.83, 3 Ac 3.73-3.80, 4 Tm 3.76-3.81
Ac (0.6818, 0.4584, 0.3636)  1 Tm 3.76, 7 Pr 3.77-3.87, 4 Ac 3.80-3.81
Ac (0.9564, 0.6398, 0.9127)  5 Pr 3.72-3.83, 3 Ac 3.73-3.80, 4 Tm 3.76-3.81
Tm (0.4091, 0.2680, 0.8182)  6 Pr 3.71-3.77, 5 Ac 3.76-3.81, 1 Tm 3.80
Tm (0.5909, 0.7320, 0.1818)  6 Pr 3.71-3.77, 5 Ac 3.76-3.81, 1 Tm 3.80

Computed properties:
Symmetry: C2/m (12)
Total magnetization in μB per cell: 0.0

---

# 6
VASP calculation (PBE) on an optimized crystal structure of AcPr4Tm4.

Unit cell a=5.1447 b=8.1686 c=8.1686 alpha=84.31 beta=71.64 gamma=71.64
Last column: nearest neighbours and their distance in Å.
Element x y z (fractional)
Pr (0.3290, 0.0000, 0.3421)  4 Pr 3.55-3.75, 6 Tm 3.61-3.69, 2 Ac 3.69
Pr (0.6710, 0.0000, 0.6579)  4 Pr 3.55-3.75, 6 Tm 3.61-3.69, 2 Ac 3.69
Pr (0.3290, 0.3421, 0.0000)  4 Pr 3.55-3.75, 6 Tm 3.61-3.69, 2 Ac 3.69
Pr (0.6710, 0.6579, 0.0000)  4 Pr 3.55-3.75, 6 Tm 3.61-3.69, 2 Ac 3.69
Tm (0.3404, 0.6596, 0.6596)  5 Tm 3.50-3.57, 6 Pr 3.61-3.69, 1 Ac 3.73
Tm (0.0000, 0.3404, 0.6596)  5 Tm 3.50-3.57, 6 Pr 3.61-3.69, 1 Ac 3.73
Tm (0.6596, 0.3404, 0.3404)  5 Tm 3.50-3.57, 6 Pr 3.61-3.69, 1 Ac 3.73
Tm (0.0000, 0.6596, 0.3404)  5 Tm 3.50-3.57, 6 Pr 3.61-3.69, 1 Ac 3.73
Ac (0.0000, 0.0000, 0.0000)  8 Pr 3.69, 4 Tm 3.73

Computed properties:
Symmetry: I4/mmm (139)
Total magnetization in μB per cell: 0.0

---

# 7
VASP calculation (PBE) on an optimized crystal structure of Ac2PrTm.

Unit cell a=3.8248 b=3.8248 c=12.4129 alpha=81.14 beta=81.14 gamma=60.00
Last column: nearest neighbours and their distance in Å.
Element x y z (fractional)
Ac (0.0812, 0.0812, 0.7565)  3 Tm 3.68, 3 Pr 3.80, 6 Ac 3.82
Ac (0.2525, 0.2525, 0.2426)  3 Tm 3.72, 6 Ac 3.82, 3 Pr 3.87
Tm (0.6674, 0.6674, 0.9979)  6 Ac 3.68-3.72, 6 Tm 3.82
Pr (0.4990, 0.4990, 0.5031)  6 Ac 3.80-3.87, 6 Pr 3.82

Computed properties:
Symmetry: R3m (160)
Energy relative to the lowest polymorph listed for this composition in kcal/mol of atoms: 0.56
Total magnetization in μB per cell: 0.0

---

# 8
VASP calculation (PBE) on an optimized crystal structure of Ac4Pr8Tm.

Unit cell a=11.6574 b=11.6574 c=8.2338 alpha=90.00 beta=135.06 gamma=120.00
Last column: nearest neighbours and their distance in Å.
Element x y z (fractional)
Pr (0.0018, 0.2437, 0.7599)  4 Ac 3.46-3.61, 1 Tm 3.68
Pr (0.4847, 0.2424, 0.7271)  4 Ac 3.45-3.61, 1 Tm 3.67
Pr (0.4838, 0.2419, 0.2401)  4 Ac 3.46-3.61, 1 Tm 3.68
Pr (0.9982, 0.7563, 0.2401)  4 Ac 3.46-3.61, 1 Tm 3.68
Pr (0.5153, 0.7576, 0.2729)  4 Ac 3.45-3.61, 1 Tm 3.67
Pr (0.0018, 0.7581, 0.7599)  4 Ac 3.46-3.61, 1 Tm 3.68
Pr (0.9982, 0.2419, 0.2401)  4 Ac 3.46-3.61, 1 Tm 3.68
Pr (0.5162, 0.7581, 0.7599)  4 Ac 3.46-3.61, 1 Tm 3.68
Ac (0.0000, 0.0000, 0.0000)  8 Pr 3.45-3.46
Ac (0.5000, 0.5000, 0.0000)  8 Pr 3.60-3.61
Ac (0.0000, 0.5000, 0.0000)  8 Pr 3.60-3.61
Ac (0.5000, 0.0000, 0.0000)  8 Pr 3.60-3.61
Tm (0.0000, 0.5000, 0.5000)  8 Pr 3.67-3.68

Computed properties:
Symmetry: R-3m (166)
Total magnetization in μB per cell: 0.0

---

# 9
VASP calculation (PBE) on an optimized crystal structure of AcPr2Tm.

Unit cell a=5.9385 b=5.9385 c=5.9385 alpha=60.00 beta=60.00 gamma=60.00
Last column: nearest neighbours and their distance in Å.
Element x y z (fractional)
Ac (0.5000, 0.5000, 0.5000)  8 Pr 3.64
Pr (0.2500, 0.2500, 0.2500)  4 Tm 3.64, 4 Ac 3.64
Pr (0.7500, 0.7500, 0.7500)  4 Tm 3.64, 4 Ac 3.64
Tm (0.0000, 0.0000, 0.0000)  8 Pr 3.64

Computed properties:
Symmetry: Fm-3m (225)
Energy relative to the lowest polymorph listed for this composition in kcal/mol of atoms: 3.17
Total magnetization in μB per cell: 0.4

---

# 10
VASP calculation (PBE) on an optimized crystal structure of AcPr12Tm2.

Unit cell a=6.9236 b=6.9236 c=25.5135 alpha=90.00 beta=90.00 gamma=116.84
Last column: nearest neighbours and their distance in Å.
Element x y z (fractional)
Pr (0.7615, 0.2615, 0.1422)  5 Pr 3.32-3.64, 1 Ac 3.66
Pr (0.7693, 0.2693, 0.5844)  7 Pr 3.35-3.73
Pr (0.0000, 0.0000, 0.3263)  3 Pr 3.17-3.44
Pr (0.2693, 0.7693, 0.4156)  7 Pr 3.35-3.73
Pr (0.2767, 0.2233, 0.0779)  2 Ac 3.56-3.63, 6 Pr 3.64-3.68
Pr (0.7767, 0.7233, 0.9221)  2 Ac 3.56-3.63, 6 Pr 3.64-3.68
Pr (0.2307, 0.7307, 0.5844)  7 Pr 3.35-3.73
Pr (0.2233, 0.2767, 0.9221)  2 Ac 3.56-3.63, 6 Pr 3.64-3.68
Pr (0.0000, 0.0000, 0.2022)  3 Pr 3.17-3.32
Pr (0.2744, 0.2256, 0.5596)  5 Pr 3.09-3.44
Pr (0.0000, 0.0000, 0.7978)  3 Pr 3.17-3.32
Pr (0.5000, 0.5000, 0.6737)  3 Pr 3.17-3.44
Pr (0.5000, 0.5000, 0.2022)  3 Pr 3.17-3.32
Pr (0.2615, 0.7615, 0.8578)  5 Pr 3.32-3.64, 1 Ac 3.66
Pr (0.7307, 0.2307, 0.4156)  7 Pr 3.35-3.73
Pr (0.7385, 0.2385, 0.8578)  5 Pr 3.32-3.64, 1 Ac 3.66
Pr (0.2385, 0.7385, 0.1422)  5 Pr 3.32-3.64, 1 Ac 3.66
Pr (0.7256, 0.7744, 0.5596)  5 Pr 3.09-3.44
Pr (0.2256, 0.2744, 0.4404)  5 Pr 3.09-3.44
Pr (0.5000, 0.5000, 0.7978)  3 Pr 3.17-3.32
Pr (0.5000, 0.5000, 0.3263)  3 Pr 3.17-3.44
Pr (0.7744, 0.7256, 0.4404)  5 Pr 3.09-3.44
Pr (0.0000, 0.0000, 0.6737)  3 Pr 3.17-3.44
Pr (0.7233, 0.7767, 0.0779)  2 Ac 3.56-3.63, 6 Pr 3.64-3.68
Tm (0.5000, 0.0000, 0.2708)  2 Tm 3.63, 12 Pr 3.74-4.06
Tm (0.5000, 0.0000, 0.7254)  2 Tm 3.63, 10 Pr 3.70-3.92
Tm (0.0000, 0.5000, 0.2746)  2 Tm 3.63, 10 Pr 3.70-3.92
Tm (0.0000, 0.5000, 0.7292)  2 Tm 3.63, 12 Pr 3.74-4.06
Ac (0.0000, 0.5000, 0.0157)  6 Pr 3.56-3.66, 2 Ac 3.71
Ac (0.5000, 0.0000, 0.9843)  6 Pr 3.56-3.66, 2 Ac 3.71

Computed properties:
Symmetry: Cmme (67)
Total magnetization in μB per cell: 0.0

---

no.,calculated density (g/cm3),formation energy from the elements (eV per atom)
1,7.98,0.051
2,7.39,0.025
3,7.73,0.030
4,7.76,0.027
5,7.75,0.040
6,7.87,0.039
7,8.20,0.063
8,6.56,0.499
9,7.60,0.164
10,6.86,0.157